Entry 1:
# TlAgH4 | the Alexandria database | PBE-GGA | optimized geometry
# Final energy ... -2.67 eV per atom
# Magnetization ... 0.00 μB/f.u.
# Theoretical density ... 6.7 g cm⁻³
data_TlAgH4
_chemical_formula_sum 'Tl2 Ag2 H8'
_symmetry_space_group_name_H-M 'P 1'
_symmetry_Int_Tables_number 1
_symmetry_space_group_name_Hall 'P 1'
_cell_length_a 4.6646
_cell_length_b 5.1669
_cell_length_c 7.3817
_cell_angle_alpha 111.22
_cell_angle_beta 109.22
_cell_angle_gamma 87.82
loop_
_atom_site_label
_atom_site_type_symbol
_atom_site_fract_x
_atom_site_fract_y
_atom_site_fract_z
_atom_site_occupancy
H1 H 0.0007 0.3741 0.3235 1
H2 H 0.8228 0.9494 0.3235 1
H3 H 0.1772 0.0506 0.6765 1
H4 H 0.8989 0.1775 0.9466 1
H5 H 0.4524 0.2309 0.0534 1
H6 H 0.1011 0.8225 0.0534 1
H7 H 0.5476 0.7691 0.9466 1
H8 H 0.9993 0.6259 0.6765 1
Tl1 Tl 0.4084 0.6584 0.3168 1
Tl2 Tl 0.5916 0.3416 0.6832 1
Ag1 Ag 0.8171 0.0671 0.1341 1
Ag2 Ag 0.1829 0.9329 0.8659 1

Entry 2:
# Ti2BeW | the Alexandria database | PBE-GGA | optimized geometry
# DFT formation energy ... -0.037 eV/atom
# Final energy ... -8.15 eV per atom
# Magnetization ... 0.00 μB/f.u.
# Theoretical density ... 8.2 g cm⁻³
data_Ti2BeW
_chemical_formula_sum 'Ti2 Be1 W1'
_symmetry_space_group_name_H-M 'P 1'
_symmetry_Int_Tables_number 1
_symmetry_space_group_name_Hall 'P 1'
_cell_length_a 3.1653
_cell_length_b 3.1653
_cell_length_c 5.8592
_cell_angle_alpha 90.00
_cell_angle_beta 90.00
_cell_angle_gamma 90.00
loop_
_atom_site_label
_atom_site_type_symbol
_atom_site_fract_x
_atom_site_fract_y
_atom_site_fract_z
_atom_site_occupancy
W1 W 0.5000 0.5000 0.5000 1
Ti1 Ti 0.0000 0.0000 0.7599 1
Ti2 Ti 0.0000 0.0000 0.2401 1
Be1 Be 0.5000 0.5000 0.0000 1

Entry 3:
# ReTeWI | the Alexandria database | PBE-GGA | optimized geometry
# Formation energy (no corrections) ... 485 meV/atom
# Final energy ... -7.04 eV per atom
# Magnetization ... 0.00 μB/f.u.
# Theoretical density ... 9.2 g cm⁻³
# Energy above the most stable polymorph in this dataset ... 0.128 eV per atom
data_ReTeWI
_chemical_formula_sum 'Re2 Te2 W2 I2'
_symmetry_space_group_name_H-M 'P 1'
_symmetry_Int_Tables_number 1
_symmetry_space_group_name_Hall 'P 1'
_cell_length_a 7.8415
_cell_length_b 4.2062
_cell_length_c 7.4860
_cell_angle_alpha 90.00
_cell_angle_beta 114.06
_cell_angle_gamma 90.00
loop_
_atom_site_label
_atom_site_type_symbol
_atom_site_fract_x
_atom_site_fract_y
_atom_site_fract_z
_atom_site_occupancy
W1 W 0.4955 0.0000 0.2369 1
W2 W 0.4955 0.5000 0.7369 1
I1 I 0.2260 0.0000 0.5768 1
I2 I 0.2260 0.5000 0.0768 1
Re1 Re 0.5830 0.0000 0.5983 1
Re2 Re 0.5830 0.5000 0.0983 1
Te1 Te 0.7644 0.5000 0.5077 1
Te2 Te 0.7644 0.0000 0.0077 1

Entry 4:
# CeGdSe | the Alexandria database | PBE-GGA | optimized geometry
# Formation energy (no corrections) ... -1034 meV/atom
# Final energy ... -8.87 eV per atom
# Magnetization ... 9.28 μB/f.u.
# Theoretical density ... 7.0 g cm⁻³
data_CeGdSe
_chemical_formula_sum 'Ce1 Gd1 Se1'
_symmetry_space_group_name_H-M 'P 1'
_symmetry_Int_Tables_number 1
_symmetry_space_group_name_Hall 'P 1'
_cell_length_a 6.7112
_cell_length_b 3.9165
_cell_length_c 3.9165
_cell_angle_alpha 120.00
_cell_angle_beta 90.00
_cell_angle_gamma 90.00
loop_
_atom_site_label
_atom_site_type_symbol
_atom_site_fract_x
_atom_site_fract_y
_atom_site_fract_z
_atom_site_occupancy
Se1 Se 0.9949 0.3333 0.6667 1
Gd1 Gd 0.7244 0.6667 0.3333 1
Ce1 Ce 0.2807 0.0000 0.0000 1

Entry 5:
# AcCl2F6 | the Alexandria database | PBE-GGA | optimized geometry
# Formation energy (no corrections) ... -2057 meV/atom
# Final energy ... -4.17 eV per atom
# Magnetization ... 1.05 μB/f.u.
# Theoretical density ... 4.3 g cm⁻³
data_AcCl2F6
_chemical_formula_sum 'Ac2 Cl4 F12'
_symmetry_space_group_name_H-M 'P 1'
_symmetry_Int_Tables_number 1
_symmetry_space_group_name_Hall 'P 1'
_cell_length_a 6.6724
_cell_length_b 11.6647
_cell_length_c 11.6647
_cell_angle_alpha 46.56
_cell_angle_beta 36.62
_cell_angle_gamma 36.62
loop_
_atom_site_label
_atom_site_type_symbol
_atom_site_fract_x
_atom_site_fract_y
_atom_site_fract_z
_atom_site_occupancy
F1 F 0.3008 0.7783 0.4929 1
F2 F 0.8789 0.9143 0.8427 1
F3 F 0.3789 0.8427 0.9143 1
F4 F 0.8008 0.4929 0.7783 1
F5 F 0.3137 0.3544 0.8504 1
F6 F 0.6992 0.2217 0.5071 1
F7 F 0.6863 0.6456 0.1496 1
F8 F 0.1211 0.0857 0.1573 1
F9 F 0.8137 0.8504 0.3544 1
F10 F 0.1992 0.5071 0.2217 1
F11 F 0.6211 0.1573 0.0857 1
F12 F 0.1863 0.1496 0.6456 1
Ac1 Ac 0.7500 0.8731 0.1269 1
Ac2 Ac 0.2500 0.1269 0.8731 1
Cl1 Cl 0.1902 0.3217 0.4397 1
Cl2 Cl 0.6902 0.4397 0.3217 1
Cl3 Cl 0.3098 0.5603 0.6783 1
Cl4 Cl 0.8098 0.6783 0.5603 1

Entry 6:
# Ba2GaNi | the Alexandria database | PBE-GGA | optimized geometry
# DFT formation energy ... 0.227 eV/atom
# Final energy ... -2.94 eV per atom
# Magnetization ... 0.00 μB/f.u.
# Theoretical density ... 5.0 g cm⁻³
data_Ba2GaNi
_chemical_formula_sum 'Ba4 Ga2 Ni2'
_symmetry_space_group_name_H-M 'P 1'
_symmetry_Int_Tables_number 1
_symmetry_space_group_name_Hall 'P 1'
_cell_length_a 8.6791
_cell_length_b 8.6791
_cell_length_c 7.1065
_cell_angle_alpha 52.36
_cell_angle_beta 52.36
_cell_angle_gamma 90.00
loop_
_atom_site_label
_atom_site_type_symbol
_atom_site_fract_x
_atom_site_fract_y
_atom_site_fract_z
_atom_site_occupancy
Ni1 Ni 0.5000 0.5000 0.0000 1
Ni2 Ni 0.2500 0.7500 0.5000 1
Ga1 Ga 0.7500 0.2500 0.5000 1
Ga2 Ga 0.0000 0.0000 0.0000 1
Ba1 Ba 0.1741 0.6250 0.2500 1
Ba2 Ba 0.5759 0.1250 0.2500 1
Ba3 Ba 0.8750 0.8259 0.7500 1
Ba4 Ba 0.3750 0.4241 0.7500 1